1.
{
  "formula": "PrLu3",
  "functional": "PBE-GGA",
  "state": "optimized geometry",
  "total_energy_ev_per_atom": -4.57,
  "sg": "Imm2 (44)",
  "ef_mev_per_atom": 17,
  "polymorph_energy_ev_per_fu": 0.01,
  "magnetic_moment_mub_per_cell": 0.00,
  "lattice_angstrom": [[-1.469, 2.974, -1.407], [-0.060, -2.671, -5.585], [-4.353, -2.192, 4.527]],
  "species": ["Pr", "Lu", "Lu", "Lu"],
  "frac_coords": [[0.000, 0.995, 0.000], [0.247, 0.583, 0.493], [0.500, 0.500, 0.000], [0.753, 0.090, 0.507]]
}

---

2.
{
  "formula": "PrLu3",
  "functional": "PBE-GGA",
  "state": "optimized geometry",
  "total_energy_ev_per_atom": -4.48,
  "sg": "Fm-3m (225)",
  "ef_mev_per_atom": 108,
  "polymorph_energy_ev_per_fu": 0.38,
  "magnetic_moment_mub_per_cell": 0.00,
  "lattice_angstrom": [[5.610, 0.000, 0.000], [2.805, 4.858, 0.000], [2.805, 1.619, 4.580]],
  "species": ["Pr", "Lu", "Lu", "Lu"],
  "frac_coords": [[0.500, 0.500, 0.500], [0.000, 0.000, 0.000], [0.750, 0.750, 0.750], [0.250, 0.250, 0.250]]
}

---

Repeat the first record exactly.
{
  "formula": "PrLu3",
  "functional": "PBE-GGA",
  "state": "optimized geometry",
  "total_energy_ev_per_atom": -4.57,
  "sg": "Imm2 (44)",
  "ef_mev_per_atom": 17,
  "polymorph_energy_ev_per_fu": 0.01,
  "magnetic_moment_mub_per_cell": 0.00,
  "lattice_angstrom": [[-1.469, 2.974, -1.407], [-0.060, -2.671, -5.585], [-4.353, -2.192, 4.527]],
  "species": ["Pr", "Lu", "Lu", "Lu"],
  "frac_coords": [[0.000, 0.995, 0.000], [0.247, 0.583, 0.493], [0.500, 0.500, 0.000], [0.753, 0.090, 0.507]]
}